1.
16
Lattice="-4.012 4.128 5.853 4.012 -4.128 5.853 4.012 4.128 -5.853" Properties=species:S:1:pos:R:3 comment="KTl2GeS4, optimized geometry, DFT PBE-GGA" dos_at_fermi_per_ev_atom=0.3881 pbc="T T T"
K -2.006 2.064 2.926
K 2.006 2.064 2.926
Tl 0.000 0.000 0.000
Tl 2.006 2.064 -2.926
Tl 2.006 -2.064 2.926
Tl 0.000 4.128 0.000
Ge 4.012 0.000 0.000
Ge 0.000 0.000 5.853
S 4.012 -0.228 2.749
S 4.012 3.900 -2.749
S 2.231 2.064 -0.120
S 5.792 2.064 -0.120
S -1.781 2.064 5.973
S 1.781 2.064 5.973
S 0.000 0.228 8.602
S 0.000 4.356 3.104



2.
# K2Tm2GeS6

K2Tm2GeS6 after structural relaxation (PBE-GGA, the Alexandria database).

The structure in extended XYZ format:
```
11
Lattice="3.338 -5.736 0.000 3.338 5.736 0.000 -2.282 0.000 7.556" Properties=species:S:1:pos:R:3 pbc="T T T"
K 3.338 3.774 0.000
K 3.338 -3.774 0.000
Tm 2.197 1.932 3.778
Tm 2.197 -1.932 3.778
Ge -1.141 0.000 3.778
S -0.098 1.772 5.215
S 0.859 0.000 2.389
S -0.098 -1.772 5.215
S 4.492 1.772 2.341
S 3.534 0.000 5.167
S 4.492 -1.772 2.341
```



3.
8
Lattice="7.056 0.000 0.000 0.000 4.068 0.000 -2.281 0.000 7.250" Properties=species:S:1:pos:R:3 comment="K2UGeS4, optimized geometry, DFT PBE-GGA" dos_at_fermi_per_ev_atom=0.4589 pbc="T T T"
K 0.000 0.000 0.000
K 3.528 2.034 0.000
U -1.141 2.034 3.625
Ge 2.387 0.000 3.625
S 0.016 0.000 5.062
S 1.121 2.034 2.208
S 3.654 2.034 5.042
S 4.759 0.000 2.188



4.
18
Lattice="2.090 -9.109 0.000 2.090 9.109 0.000 0.000 0.000 13.634" Properties=species:S:1:pos:R:3 comment="K2UGeS5, optimized geometry, DFT PBE-GGA" dos_at_fermi_per_ev_atom=0.5767 pbc="T T T"
K 2.090 7.087 6.817
K 2.090 6.825 2.097
K 2.090 -6.825 8.914
K 2.090 -7.087 0.000
U 2.090 5.388 11.656
U 2.090 -5.388 4.840
Ge 2.090 1.072 3.457
Ge 2.090 -1.072 10.274
S 2.090 8.169 11.459
S 2.090 3.690 6.489
S 2.090 3.426 3.041
S 2.090 2.953 11.336
S 2.090 0.097 1.520
S 2.090 -0.097 8.337
S 2.090 -2.953 4.519
S 2.090 -3.426 9.858
S 2.090 -3.690 13.306
S 2.090 -8.169 4.642



5.
15
Lattice="4.035 2.330 7.405 -4.035 2.330 7.405 0.000 -4.660 7.405" Properties=species:S:1:pos:R:3 comment="K3U3GeS8, optimized geometry, DFT PBE-GGA" dos_at_fermi_per_ev_atom=0.6879 pbc="T T T"
K -2.018 -1.165 7.405
K -2.018 1.165 14.810
K 0.000 2.330 7.405
U -4.035 0.000 11.107
U -2.018 1.165 3.702
U 2.018 1.165 3.702
Ge 0.000 0.000 11.107
S -2.036 -1.176 12.528
S 0.000 0.000 5.203
S 0.000 -2.351 9.686
S -2.036 1.176 9.686
S 2.036 -1.176 12.528
S 0.000 2.351 12.528
S 0.000 0.000 17.011
S 2.036 1.176 9.686



6.
16
Lattice="0.000 6.681 10.814 3.283 0.000 10.814 3.283 6.681 0.000" Properties=species:S:1:pos:R:3 comment="K2VGeS4, optimized geometry, DFT PBE-GGA" dos_at_fermi_per_ev_atom=0.5606 pbc="T T T"
K 2.462 5.011 1.217
K 4.103 8.351 6.624
K 2.462 5.011 15.003
K 4.103 8.351 20.410
V 0.821 1.670 2.703
V 5.745 11.692 18.924
Ge 2.462 5.011 8.110
Ge 4.103 8.351 13.517
S 2.268 2.910 3.860
S 4.298 6.251 9.267
S 2.656 7.112 3.860
S 2.656 2.910 12.360
S 3.909 10.452 9.267
S 3.909 6.251 17.767
S 2.268 7.112 12.360
S 4.298 10.452 17.767



Computed total energy (eV for the cell shown) in order:
-59.31, -55.61, -43.45, -96.20, -93.66, -78.55
Computed ΔE_f (raw) (meV per atom) in order:
-336.9, -1371.8, -1104.8, -1040.2, -1257.5, -854.2